! CaNiHg (PBE-GGA, optimized geometry); values from VASP
! calculated volume: 22.95 A^3/atom
! ΔH_f (0 K): -129 meV per atom
&SYSTEM
  ibrav = 0, nat = 3, ntyp = 3
/
ATOMIC_SPECIES
Ni 58.69 Ni.upf
Ca 40.08 Ca.upf
Hg 200.59 Hg.upf
CELL_PARAMETERS angstrom
-2.5812 1.5191 -3.4922
-2.5616 -2.9554 -2.4227
-4.5836 0.0729 0.3892
ATOMIC_POSITIONS angstrom
Ni -7.2948 -1.0226 -4.1443
Ca 0.0000 0.0000 0.0000
Hg -4.8632 -0.6817 -2.7629

***

! Ca4NiHg (PBE-GGA, optimized geometry); values from VASP
! calculated volume: 31.86 A^3/atom
! polymorph energy (0 for the lowest one): 828.3 meV per atom
! ΔH_f (0 K): 596 meV per atom
&SYSTEM
  ibrav = 0, nat = 6, ntyp = 3
/
ATOMIC_SPECIES
Ca 40.08 Ca.upf
Ni 58.69 Ni.upf
Hg 200.59 Hg.upf
CELL_PARAMETERS angstrom
0.0000 4.5722 4.5722
4.5722 0.0000 4.5722
4.5722 4.5722 0.0000
ATOMIC_POSITIONS angstrom
Ca 3.4251 5.7193 5.7193
Ca 5.7193 5.7193 3.4251
Ca 5.7193 3.4251 5.7193
Ca 3.4251 3.4251 3.4251
Ni 0.0000 0.0000 0.0000
Hg 6.8583 6.8583 6.8583

***

! Ca2Ni2Hg (PBE-GGA, optimized geometry); values from VASP
! calculated volume: 21.75 A^3/atom
! ΔH_f (0 K): -86 meV per atom
&SYSTEM
  ibrav = 0, nat = 5, ntyp = 3
/
ATOMIC_SPECIES
Ni 58.69 Ni.upf
Ca 40.08 Ca.upf
Hg 200.59 Hg.upf
CELL_PARAMETERS angstrom
-2.7570 1.3960 1.5968
-1.9698 -2.6561 -1.0790
-0.3314 -5.1775 7.7430
ATOMIC_POSITIONS angstrom
Ni -2.7259 -2.2058 4.7993
Ni -2.3323 -4.2318 3.4614
Ca -1.8680 -1.7387 2.0834
Ca -3.1902 -4.6989 6.1773
Hg 0.0000 0.0000 0.0000

***

! Ca2Ni2Hg (PBE-GGA, optimized geometry); values from VASP
! calculated volume: 22.59 A^3/atom
! ΔH_f (0 K): -60 meV per atom
&SYSTEM
  ibrav = 0, nat = 5, ntyp = 3
/
ATOMIC_SPECIES
Ni 58.69 Ni.upf
Ca 40.08 Ca.upf
Hg 200.59 Hg.upf
CELL_PARAMETERS angstrom
5.4819 0.0000 0.0000
0.0000 5.4819 0.0000
2.7409 2.7409 3.7584
ATOMIC_POSITIONS angstrom
Ni 2.7409 2.7409 1.1464
Ni 5.4819 5.4819 2.6120
Ca 5.4819 2.7409 1.8792
Ca 2.7409 5.4819 1.8792
Hg 0.0000 0.0000 0.0000